[1]
# LiCoTcMo | Alexandria via LeMat-Bulk | GGA-PBE | relaxed
# V (A^3/atom): 13.15
# Final energy (eV/atom): -7.37
# Spin magnetization (μB/f.u.): 0.0
# Theoretical density (g cm⁻³): 8.2
# E_form (meV/atom): 188.8
data_LiCoTcMo
_chemical_formula_sum 'Li4 Co4 Tc4 Mo4'
_space_group_name_H-M_alt 'F -4 3 m'
_space_group_IT_number 216
_space_group_name_Hall 'F -4 2 3'
_cell_length_a 5.947
_cell_length_b 5.947
_cell_length_c 5.947
_cell_angle_alpha 90.00
_cell_angle_beta 90.00
_cell_angle_gamma 90.00
loop_
_atom_site_label
_atom_site_type_symbol
_atom_site_fract_x
_atom_site_fract_y
_atom_site_fract_z
Li1 Li 0.000 0.000 0.000
Co1 Co 0.250 0.250 0.250
Tc1 Tc 0.250 0.250 0.750
Mo1 Mo 0.000 0.000 0.500


[2]
# LiYCo2Mo | Alexandria via LeMat-Bulk | GGA-PBE | relaxed
# V (A^3/atom): 15.00
# Final energy (eV/atom): -5.62
# Spin magnetization (μB/f.u.): 1.8
# Theoretical density (g cm⁻³): 6.9
# E_form (meV/atom): 1065.2
data_LiYCo2Mo
_chemical_formula_sum 'Li1 Y1 Co2 Mo1'
_space_group_name_H-M_alt 'P 4/m m m'
_space_group_IT_number 123
_space_group_name_Hall '-P 4 2'
_cell_length_a 4.115
_cell_length_b 4.115
_cell_length_c 4.428
_cell_angle_alpha 90.00
_cell_angle_beta 90.00
_cell_angle_gamma 90.00
loop_
_atom_site_label
_atom_site_type_symbol
_atom_site_fract_x
_atom_site_fract_y
_atom_site_fract_z
Li1 Li 0.000 0.000 0.000
Y1 Y 0.000 0.000 0.500
Co1 Co 0.000 0.500 0.000
Mo1 Mo 0.500 0.500 0.500


[3]
# LiZnCo2Mo | Alexandria via LeMat-Bulk | GGA-PBE | relaxed
# V (A^3/atom): 18.38
# Final energy (eV/atom): -4.28
# Spin magnetization (μB/f.u.): 5.8
# Theoretical density (g cm⁻³): 5.2
# E_form (meV/atom): 1365.8
data_LiZnCo2Mo
_chemical_formula_sum 'Li1 Zn1 Co2 Mo1'
_space_group_name_H-M_alt 'P 4/m m m'
_space_group_IT_number 123
_space_group_name_Hall '-P 4 2'
_cell_length_a 4.403
_cell_length_b 4.403
_cell_length_c 4.741
_cell_angle_alpha 90.00
_cell_angle_beta 90.00
_cell_angle_gamma 90.00
loop_
_atom_site_label
_atom_site_type_symbol
_atom_site_fract_x
_atom_site_fract_y
_atom_site_fract_z
Li1 Li 0.000 0.000 0.000
Zn1 Zn 0.500 0.500 0.500
Co1 Co 0.000 0.500 0.500
Mo1 Mo 0.500 0.500 0.000


[4]
# Li4CoN2 | Alexandria via LeMat-Bulk | GGA-PBE | relaxed
# V (A^3/atom): 10.19
# Final energy (eV/atom): -4.77
# Spin magnetization (μB/f.u.): 2.3
# Energy relative to the elements, uncorrected (eV per atom): -0.286
# Theoretical density (g cm⁻³): 2.7
data_Li4CoN2
_chemical_formula_sum 'Li12 Co3 N6'
_space_group_name_H-M_alt 'R -3 m'
_space_group_IT_number 166
_space_group_name_Hall '-R 3 2"'
_cell_length_a 3.6158
_cell_length_b 3.6158
_cell_length_c 18.9034
_cell_angle_alpha 90.00
_cell_angle_beta 90.00
_cell_angle_gamma 120.00
loop_
_atom_site_label
_atom_site_type_symbol
_atom_site_fract_x
_atom_site_fract_y
_atom_site_fract_z
Li1 Li 0.0000 0.0000 0.0940
Li2 Li 0.0000 0.0000 0.2969
Co1 Co 0.0000 0.0000 0.5000
N1 N 0.0000 0.0000 0.4059


[5]
# LiCoN | Alexandria via LeMat-Bulk | GGA-PBE | relaxed
# V (A^3/atom): 9.52
# Final energy (eV/atom): -5.76
# Spin magnetization (μB/f.u.): 0.2
# Energy relative to the elements, uncorrected (eV per atom): 0.020
# Theoretical density (g cm⁻³): 4.6
data_LiCoN
_chemical_formula_sum 'Li2 Co2 N2'
_space_group_name_H-M_alt 'I 4 m m'
_space_group_IT_number 107
_space_group_name_Hall 'I 4 -2'
_cell_length_a 2.536
_cell_length_b 2.536
_cell_length_c 8.876
_cell_angle_alpha 90.00
_cell_angle_beta 90.00
_cell_angle_gamma 90.00
loop_
_atom_site_label
_atom_site_type_symbol
_atom_site_fract_x
_atom_site_fract_y
_atom_site_fract_z
Li1 Li 0.000 0.000 0.000
Co1 Co 0.000 0.000 0.261
N1 N 0.000 0.000 0.680


[6]
# LiCoN | Alexandria via LeMat-Bulk | GGA-PBE | relaxed
# V (A^3/atom): 9.98
# Final energy (eV/atom): -6.04
# Spin magnetization (μB/f.u.): 0.0
# Energy relative to the elements, uncorrected (eV per atom): -0.262
# Theoretical density (g cm⁻³): 4.4
data_LiCoN
_chemical_formula_sum 'Li4 Co4 N4'
_space_group_name_H-M_alt 'P n m a'
_space_group_IT_number 62
_cell_length_a 9.954
_cell_length_b 2.853
_cell_length_c 4.218
_cell_angle_alpha 90.00
_cell_angle_beta 90.00
_cell_angle_gamma 90.00
loop_
_space_group_symop_operation_xyz
'x,y,z'
'-x,-y,-z'
'-x+1/2,-y,z+1/2'
'x+1/2,y,-z+1/2'
'x+1/2,-y+1/2,-z+1/2'
'-x+1/2,y+1/2,z+1/2'
'-x,y+1/2,-z'
'x,-y+1/2,z'
loop_
_atom_site_label
_atom_site_type_symbol
_atom_site_fract_x
_atom_site_fract_y
_atom_site_fract_z
Li1 Li 0.053 0.250 0.211
Co1 Co 0.216 0.250 0.726
N1 N 0.144 0.750 0.933